The following is a PBE calculation of crystalline CaTl2Cd at its relaxed geometry, from the Alexandria database.

The space group is Cm (No. 8) and the conventional cell measures 11.231, 4.420 and 5.003 Å, with angles of 90.00, 115.18 and 90.00 degrees. Symmetry generates all atoms from Ca at (0.000, 0.000, 0.000), Tl at (0.007, 0.500, 0.508), Tl at (0.254, 0.500, 0.251) and Cd at (0.249, 0.000, 0.748).

Its formation enthalpy at 0 K is -0.86 eV per formula unit. The value obtained for the total magnetization is 0.00 Bohr magnetons per cell.

***

The following is a PBE calculation of crystalline Y2CdBi at its relaxed geometry, from the Alexandria database.

The space group is Fm-3m (No. 225) and the conventional cell measures 7.635, 7.635 and 7.635 Å, with angles of 90.00, 90.00 and 90.00 degrees. Symmetry generates all atoms from Y at (0.250, 0.250, 0.250), Cd at (0.000, 0.000, 0.000) and Bi at (0.000, 0.000, 0.500).

Its formation enthalpy at 0 K is -1.75 eV per formula unit. The value obtained for the total magnetization is 0.00 Bohr magnetons per cell.

***

The following is a PBE calculation of crystalline CsNaInBi at its relaxed geometry, from the Alexandria database.

The space group is F-43m (No. 216) and the conventional cell measures 8.355, 8.355 and 8.355 Å, with angles of 90.00, 90.00 and 90.00 degrees. Symmetry generates all atoms from Cs at (0.000, 0.000, 0.000), Na at (0.250, 0.250, 0.750), In at (0.250, 0.250, 0.250) and Bi at (0.000, 0.000, 0.500).

Its formation enthalpy at 0 K is -0.64 eV per formula unit. The value obtained for the total magnetization is 0.00 Bohr magnetons per cell.

***

The following is a PBE calculation of crystalline Ac4TlSbN at its relaxed geometry, from the Alexandria database.

The space group is Cmcm (No. 63) and the conventional cell measures 7.267, 18.190 and 7.217 Å, with angles of 90.00, 90.00 and 90.00 degrees. Symmetry generates all atoms from Ac at (0.000, 0.069, 0.250), Ac at (0.000, 0.417, 0.250), Ac at (0.250, 0.250, 0.000), Tl at (0.000, 0.113, 0.750), Sb at (0.000, 0.388, 0.750) and N at (0.000, 0.281, 0.250).

As for the calculated total energy: -5.215 eV/atom. The value obtained for the total magnetization is 0.00 Bohr magnetons per cell.

***

The following is a PBE calculation of crystalline AlSb2Ir at its relaxed geometry, from the Alexandria database.

The space group is C2/m (No. 12) and the conventional cell measures 5.767, 7.600 and 4.286 Å, with angles of 90.00, 114.36 and 90.00 degrees. Symmetry generates all atoms from Al at (0.000, 0.000, 0.000), Sb at (0.250, 0.250, 0.500) and Ir at (0.000, 0.500, 0.000).

As for the calculated total energy: -4.952 eV/atom. The value obtained for the total magnetization is 0.00 Bohr magnetons per cell.

***

The following is a PBE calculation of crystalline Sm6GaSe2S3 at its relaxed geometry, from the Alexandria database.

The space group is C2/m (No. 12) and the conventional cell measures 17.972, 4.041 and 8.331 Å, with angles of 90.00, 103.03 and 90.00 degrees. Symmetry generates all atoms from Sm at (0.002, 0.000, 0.244), Sm at (0.160, 0.500, 0.094), Sm at (0.166, 0.500, 0.572), Ga at (0.000, 0.500, 0.500), Se at (0.170, 0.000, 0.838), S at (0.000, 0.500, 0.000) and S at (0.169, 0.000, 0.333).

As for the calculated total energy: -5.949 eV/atom. The value obtained for the total magnetization is 0.00 Bohr magnetons per cell.

***

The following is a PBE calculation of crystalline PmPa3As4 at its relaxed geometry, from the Alexandria database.

The space group is Cmmm (No. 65) and the conventional cell measures 8.248, 11.664 and 4.122 Å, with angles of 90.00, 90.00 and 90.00 degrees. Symmetry generates all atoms from Pm at (0.000, 0.000, 0.000), Pa at (0.000, 0.500, 0.000), Pa at (0.250, 0.250, 0.500), As at (0.000, 0.252, 0.000) and As at (0.244, 0.500, 0.500).

Its formation enthalpy at 0 K is -9.31 eV per formula unit. The value obtained for the total magnetization is 0.00 Bohr magnetons per cell.

***

The following is a PBE calculation of crystalline MgAsRu2 at its relaxed geometry, from the Alexandria database.

The space group is Cm (No. 8) and the conventional cell measures 9.274, 2.997 and 4.544 Å, with angles of 90.00, 110.06 and 90.00 degrees. Symmetry generates all atoms from Mg at (0.000, 0.000, 0.000), As at (0.272, 0.500, 0.363), Ru at (0.013, 0.500, 0.497) and Ru at (0.250, 0.000, 0.889).

Its formation enthalpy at 0 K is -0.30 eV per formula unit. The value obtained for the total magnetization is 0.00 Bohr magnetons per cell.